Density functional theory data (PBE-GGA) for an optimized crystal structure of Ba2SnTe2.

Lattice parameters (Å, degrees): 9.134 9.134 4.641 90.00 90.00 90.00
Sites, in units of the cell vectors:
Te: 0.346 0.846 0.000
Te: 0.846 0.654 0.000
Te: 0.654 0.154 0.000
Te: 0.154 0.346 0.000
Ba: 0.155 0.655 0.500
Ba: 0.655 0.845 0.500
Ba: 0.845 0.345 0.500
Ba: 0.345 0.155 0.500
Sn: 0.000 0.000 0.000
Sn: 0.500 0.500 0.000

Computed properties:
- formation energy from raw total energies (eV/atom) = -1.13
- raw total energy (eV per atom) = -3.96
- crystal system = tetragonal
- total moment (μB per formula unit) = 0.0